(1)
# OsIO

A relaxed structure of OsIO (PBE, Alexandria via LeMat-Bulk).

- spin magnetization (μB per formula unit) = 0.00
- uncorrected energy (eV/atom) = -5.755
- DOS(E_F) (states/eV per cell) = 7.9
- space-group type = P3_2

a b c (Å): 6.0478 6.0478 6.7562
angles (deg): 90.00 90.00 120.00
With the nearest neighbours (Å) after each atom.
Atoms (fractional coordinates):
I (0.6668, 0.9946, 0.2778)  3 Os 2.69-2.88
I (0.3278, 0.3332, 0.6112)  3 Os 2.69-2.88
I (0.0054, 0.6722, 0.9445)  3 Os 2.69-2.88
Os (0.6662, 0.5502, 0.2777)  2 O 1.87
Os (0.4498, 0.1160, 0.9444)  2 O 1.87
Os (0.8840, 0.3338, 0.6111)  2 O 1.87
O (0.9359, 0.6032, 0.4445)  2 Os 1.87
O (0.3968, 0.3328, 0.1111)  2 Os 1.87
O (0.6672, 0.0641, 0.7778)  2 Os 1.87

(2)
# OsI2O2

A relaxed structure of OsI2O2 (PBE, Alexandria via LeMat-Bulk).

- spin magnetization (μB per formula unit) = 0.54
- offset from the most stable computed form (meV/atom) = 0.0
- uncorrected energy (eV/atom) = -4.679
- DOS(E_F) (states/eV per cell) = 4.3
- space-group type = P4/mmm

a b c (Å): 4.0229 4.0229 6.4470
angles (deg): 90.00 90.00 90.00
With the nearest neighbours (Å) after each atom.
Atoms (fractional coordinates):
Os (0.0000, 0.0000, 0.0000)  4 O 2.01
I (0.0000, 0.0000, 0.5000)  4 I 2.84
I (0.5000, 0.5000, 0.5000)  4 I 2.84
O (0.5000, 0.0000, 0.0000)  2 Os 2.01
O (0.0000, 0.5000, 0.0000)  2 Os 2.01

(3)
# OsI2O8

A relaxed structure of OsI2O8 (PBE, Alexandria via LeMat-Bulk).

- spin magnetization (μB per formula unit) = 0.00
- offset from the most stable computed form (meV/atom) = 39.7
- uncorrected energy (eV/atom) = -5.309
- DOS(E_F) (states/eV per cell) = 2.6
- space-group type = Cm

a b c (Å): 4.6432 6.4199 6.4199
angles (deg): 111.17 86.87 86.87
With the nearest neighbours (Å) after each atom.
Atoms (fractional coordinates):
Os (0.5839, 0.9255, 0.9255)  1 O 1.69
I (0.4566, 0.3162, 0.6760)  2 O 1.78-1.96
I (0.4566, 0.6760, 0.3162)  2 O 1.78-1.96
O (0.4612, 0.9803, 0.2288)  1 Os 1.90
O (0.9496, 0.9109, 0.9109)  1 Os 1.69
O (0.0720, 0.6830, 0.3257)  1 I 1.78
O (0.4752, 0.9107, 0.6256)  1 Os 1.99, 1 I 2.02
O (0.4752, 0.6256, 0.9107)  1 Os 1.99, 1 I 2.02
O (0.4612, 0.2288, 0.9803)  1 Os 1.90
O (0.5365, 0.4512, 0.4512)  2 I 1.96
O (0.0720, 0.3257, 0.6830)  1 I 1.78

(4)
# Os5I3O12

A relaxed structure of Os5I3O12 (PBE, Alexandria via LeMat-Bulk).

- spin magnetization (μB per formula unit) = 0.00
- uncorrected energy (eV/atom) = -6.190
- DOS(E_F) (states/eV per cell) = 50.6
- space-group type = Ia-3d

a b c (Å): 11.7403 11.7403 11.7403
angles (deg): 109.47 109.47 109.47
With the nearest neighbours (Å) after each atom.
Atoms (fractional coordinates):
Os (0.0000, 0.5000, 0.0000)  6 O 2.09
Os (0.0000, 0.5000, 0.5000)  6 O 2.09
Os (0.3750, 0.1250, 0.7500)  4 O 1.85
Os (0.2500, 0.3750, 0.6250)  4 O 1.85
Os (0.0000, 0.0000, 0.5000)  6 O 2.09
Os (0.5000, 0.0000, 0.0000)  6 O 2.09
Os (0.1250, 0.3750, 0.2500)  4 O 1.85
Os (0.5000, 0.5000, 0.5000)  6 O 2.09
Os (0.6250, 0.8750, 0.2500)  4 O 1.85
Os (0.7500, 0.1250, 0.8750)  4 O 1.85
Os (0.0000, 0.0000, 0.0000)  6 O 2.09
Os (0.8750, 0.6250, 0.7500)  4 O 1.85
Os (0.3750, 0.2500, 0.1250)  4 O 1.85
Os (0.7500, 0.6250, 0.3750)  4 O 1.85
Os (0.1250, 0.7500, 0.3750)  4 O 1.85
Os (0.8750, 0.2500, 0.6250)  4 O 1.85
Os (0.2500, 0.8750, 0.1250)  4 O 1.85
Os (0.5000, 0.5000, 0.0000)  6 O 2.09
Os (0.5000, 0.0000, 0.5000)  6 O 2.09
Os (0.6250, 0.7500, 0.8750)  4 O 1.85
O (0.9755, 0.6200, 0.6575)  1 Os 1.85
O (0.8180, 0.8555, 0.9755)  1 Os 1.85
O (0.9755, 0.3555, 0.8180)  1 Os 1.85
O (0.0375, 0.8555, 0.3800)  1 Os 1.85
O (0.3425, 0.8800, 0.0245)  1 Os 1.85
O (0.8800, 0.3425, 0.5245)  1 Os 1.85
O (0.4625, 0.3425, 0.3180)  1 Os 1.85
O (0.9625, 0.1445, 0.6200)  1 Os 1.85
O (0.5375, 0.8800, 0.3555)  1 Os 1.85
O (0.4755, 0.1575, 0.1200)  1 Os 1.85
O (0.6575, 0.5375, 0.1820)  1 Os 1.85
O (0.1200, 0.6575, 0.4755)  1 Os 1.85
O (0.3180, 0.4755, 0.3555)  1 Os 1.85
O (0.9625, 0.8180, 0.8425)  1 Os 1.85
O (0.8555, 0.8180, 0.4755)  1 Os 1.85
O (0.3555, 0.3800, 0.5375)  1 Os 1.85
O (0.1575, 0.6820, 0.0375)  1 Os 1.85
O (0.3800, 0.0245, 0.8425)  1 Os 1.85
O (0.4625, 0.1200, 0.6445)  1 Os 1.85
O (0.6820, 0.1575, 0.5375)  1 Os 1.85
O (0.5245, 0.6820, 0.1445)  1 Os 1.85
O (0.6200, 0.6445, 0.9625)  1 Os 1.85
O (0.8800, 0.5375, 0.8555)  1 Os 1.85
O (0.1820, 0.0375, 0.6575)  1 Os 1.85
O (0.3425, 0.4625, 0.8180)  1 Os 1.85
O (0.1445, 0.9625, 0.1200)  1 Os 1.85
O (0.6575, 0.1200, 0.9755)  1 Os 1.85
O (0.1200, 0.4625, 0.1445)  1 Os 1.85
O (0.3800, 0.3555, 0.0375)  1 Os 1.85
O (0.8425, 0.5245, 0.3800)  1 Os 1.85
O (0.6445, 0.6200, 0.4625)  1 Os 1.85
O (0.6200, 0.9755, 0.1575)  1 Os 1.85
O (0.0245, 0.3800, 0.3425)  1 Os 1.85
O (0.1575, 0.4755, 0.6200)  1 Os 1.85
O (0.8180, 0.9625, 0.3425)  1 Os 1.85
O (0.5375, 0.6575, 0.6820)  1 Os 1.85
O (0.0245, 0.6445, 0.1820)  1 Os 1.85
O (0.1445, 0.1820, 0.5245)  1 Os 1.85
O (0.5245, 0.8425, 0.8800)  1 Os 1.85
O (0.6445, 0.0245, 0.6820)  1 Os 1.85
O (0.3180, 0.8425, 0.4625)  1 Os 1.85
O (0.3555, 0.9755, 0.3180)  1 Os 1.85
O (0.1820, 0.1445, 0.0245)  1 Os 1.85
O (0.4755, 0.3180, 0.8555)  1 Os 1.85
O (0.8425, 0.3180, 0.9625)  1 Os 1.85
O (0.0375, 0.1820, 0.1575)  1 Os 1.85
O (0.8555, 0.0375, 0.8800)  1 Os 1.85
O (0.6820, 0.5245, 0.6445)  1 Os 1.85
I (0.1250, 0.8750, 0.7500)  4 O 2.51
I (0.2500, 0.1250, 0.3750)  4 O 2.51
I (0.6250, 0.2500, 0.3750)  4 O 2.51
I (0.1250, 0.2500, 0.8750)  4 O 2.51
I (0.2500, 0.6250, 0.8750)  4 O 2.51
I (0.7500, 0.8750, 0.6250)  4 O 2.51
I (0.8750, 0.7500, 0.1250)  4 O 2.51
I (0.7500, 0.3750, 0.1250)  4 O 2.51
I (0.8750, 0.1250, 0.2500)  4 O 2.51
I (0.3750, 0.7500, 0.6250)  4 O 2.51
I (0.3750, 0.6250, 0.2500)  4 O 2.51
I (0.6250, 0.3750, 0.7500)  4 O 2.51

> Among the records above, which one has the highest DOS(E_F)?

Os5I3O12

> Which of these has the highest spin magnetization?

OsI2O2

> Which value of DOS(E_F) does entry 3 give?

2.6 states/eV per cell

Please write out number 2 again, unchanged.
# OsI2O2

A relaxed structure of OsI2O2 (PBE, Alexandria via LeMat-Bulk).

- spin magnetization (μB per formula unit) = 0.54
- offset from the most stable computed form (meV/atom) = 0.0
- uncorrected energy (eV/atom) = -4.679
- DOS(E_F) (states/eV per cell) = 4.3
- space-group type = P4/mmm

a b c (Å): 4.0229 4.0229 6.4470
angles (deg): 90.00 90.00 90.00
With the nearest neighbours (Å) after each atom.
Atoms (fractional coordinates):
Os (0.0000, 0.0000, 0.0000)  4 O 2.01
I (0.0000, 0.0000, 0.5000)  4 I 2.84
I (0.5000, 0.5000, 0.5000)  4 I 2.84
O (0.5000, 0.0000, 0.0000)  2 Os 2.01
O (0.0000, 0.5000, 0.0000)  2 Os 2.01